# CeSi3Ru2 (PBE, optimized geometry)
data_CeSi3Ru2
_chemical_formula_sum 'Ce2 Si6 Ru4'
_cell_length_a 5.5903
_cell_length_b 6.0449
_cell_length_c 6.0449
_cell_angle_alpha 103.27
_cell_angle_beta 90.00
_cell_angle_gamma 90.00
_symmetry_space_group_name_H-M 'P 1'
_symmetry_Int_Tables_number 1
_symmetry_space_group_name_Hall 'P 1'
loop_
_atom_site_label
_atom_site_fract_x
_atom_site_fract_y
_atom_site_fract_z
_atom_site_occupancy
Si1 0.7500 0.4626 0.1086 1
Si2 0.2500 0.8914 0.5374 1
Ru1 0.5000 0.7947 0.2053 1
Ce1 0.2500 0.3399 0.3399 1
Ce2 0.7500 0.6601 0.6601 1
Ru2 0.0000 0.7947 0.2053 1
Ru3 0.0000 0.2053 0.7947 1
Si3 0.7500 0.0577 0.0577 1
Si4 0.2500 0.9423 0.9423 1
Ru4 0.5000 0.2053 0.7947 1
Si5 0.2500 0.5374 0.8914 1
Si6 0.7500 0.1086 0.4626 1
# E_tot = -7.473 eV/atom
# E_form (uncorrected) = -681 meV per atom
# Total magnetic moment = 1.28 Bohr magnetons per cell